[1]
DFT (PBE) results for crystalline La6Dy2HoTm at its relaxed geometry.

Values from the calculation:
Crystal system ... monoclinic
Density ... 7.01 g/cm³
ΔE_f ... 193 meV/atom
Total energy ... -0.1687 hartree per atom

Lattice parameters (Å, degrees): 6.729 6.729 9.052 103.20 103.20 63.52
Atoms (fractional coordinates):
La 0.091 0.537 0.198
La 0.132 0.132 0.429
La 0.463 0.909 0.802
La 0.537 0.091 0.198
La 0.868 0.868 0.571
La 0.909 0.463 0.802
Dy 0.418 0.418 0.829
Dy 0.582 0.582 0.171
Ho 0.000 0.000 0.000
Tm 0.500 0.500 0.500



[2]
DFT (PBE) results for crystalline La2Dy6HoTm3 at its relaxed geometry.

Values from the calculation:
Crystal system ... monoclinic
Density ... 8.33 g/cm³
ΔE_f ... 26 meV/atom
Total energy ... -0.1689 hartree per atom

Lattice parameters (Å, degrees): 6.173 6.173 11.802 95.00 95.00 119.99
Atoms (fractional coordinates):
La 0.166 0.834 0.000
La 0.834 0.166 0.000
Dy 0.082 0.414 0.744
Dy 0.254 0.254 0.256
Dy 0.414 0.082 0.744
Dy 0.586 0.918 0.256
Dy 0.746 0.746 0.744
Dy 0.918 0.586 0.256
Ho 0.500 0.500 0.000
Tm 0.000 0.000 0.500
Tm 0.334 0.666 0.500
Tm 0.666 0.334 0.500



[3]
DFT (PBE) results for crystalline La6DyHo2Tm at its relaxed geometry.

Values from the calculation:
Crystal system ... monoclinic
Density ... 7.13 g/cm³
ΔE_f ... 110 meV/atom
Total energy ... -0.1716 hartree per atom

Lattice parameters (Å, degrees): 9.024 9.024 9.774 94.34 94.34 117.86
Atoms (fractional coordinates):
La 0.002 0.561 0.194
La 0.110 0.760 0.551
La 0.240 0.890 0.949
La 0.295 0.508 0.381
La 0.439 0.998 0.306
La 0.492 0.705 0.119
La 0.508 0.295 0.881
La 0.561 0.002 0.694
La 0.705 0.492 0.619
La 0.760 0.110 0.051
La 0.890 0.240 0.449
La 0.998 0.439 0.806
Dy 0.025 0.975 0.250
Dy 0.975 0.025 0.750
Ho 0.198 0.292 0.046
Ho 0.292 0.198 0.546
Ho 0.708 0.802 0.454
Ho 0.802 0.708 0.954
Tm 0.413 0.587 0.750
Tm 0.587 0.413 0.250



[4]
DFT (PBE) results for crystalline La2DyHo5Tm at its relaxed geometry.

Values from the calculation:
Crystal system ... orthorhombic
Density ... 7.99 g/cm³
ΔE_f ... 140 meV/atom
Total energy ... -0.1656 hartree per atom

Lattice parameters (Å, degrees): 10.281 10.281 10.702 90.00 90.00 148.22
Atoms (fractional coordinates):
La 0.113 0.887 0.500
La 0.115 0.885 0.084
La 0.885 0.115 0.584
La 0.887 0.113 0.000
Dy 0.413 0.587 0.228
Dy 0.587 0.413 0.728
Ho 0.016 0.984 0.790
Ho 0.281 0.719 0.075
Ho 0.299 0.701 0.473
Ho 0.387 0.613 0.787
Ho 0.481 0.519 0.506
Ho 0.519 0.481 0.006
Ho 0.613 0.387 0.287
Ho 0.701 0.299 0.973
Ho 0.719 0.281 0.575
Ho 0.984 0.016 0.290
Tm 0.200 0.800 0.778
Tm 0.800 0.200 0.278



[5]
DFT (PBE) results for crystalline LaDyHoTm2 at its relaxed geometry.

Values from the calculation:
Crystal system ... orthorhombic
Density ... 7.72 g/cm³
ΔE_f ... 356 meV/atom
Total energy ... -0.1563 hartree per atom

Lattice parameters (Å, degrees): 7.104 7.104 7.197 90.00 90.00 107.73
Atoms (fractional coordinates):
La 0.233 0.767 0.750
La 0.767 0.233 0.250
Dy 0.218 0.782 0.250
Dy 0.782 0.218 0.750
Ho 0.497 0.503 0.250
Ho 0.503 0.497 0.750
Tm 0.189 0.189 0.000
Tm 0.189 0.189 0.500
Tm 0.811 0.811 0.000
Tm 0.811 0.811 0.500



[6]
DFT (PBE) results for crystalline LaDy5Ho2Tm at its relaxed geometry.

Values from the calculation:
Crystal system ... tetragonal
Density ... 8.11 g/cm³
ΔE_f ... 294 meV/atom
Total energy ... -0.1589 hartree per atom

Lattice parameters (Å, degrees): 9.657 9.657 9.657 124.00 124.00 83.21
Atoms (fractional coordinates):
La 0.250 0.250 0.000
La 0.750 0.750 0.000
Dy 0.000 0.000 0.000
Dy 0.074 0.574 0.907
Dy 0.168 0.074 0.500
Dy 0.332 0.832 0.907
Dy 0.426 0.332 0.500
Dy 0.500 0.500 0.000
Dy 0.574 0.668 0.500
Dy 0.668 0.168 0.093
Dy 0.832 0.926 0.500
Dy 0.926 0.426 0.093
Ho 0.111 0.389 0.500
Ho 0.389 0.889 0.278
Ho 0.611 0.111 0.722
Ho 0.889 0.611 0.500
Tm 0.250 0.750 0.500
Tm 0.750 0.250 0.500